Entry 1:
First-principles (PBE) data for a relaxed structure of Ba2Sm3YO8, as listed in the Alexandria database.

```
Ba2Sm3YO8
1.0
3.584 2.069 6.035
-3.584 2.069 6.035
0.000 -4.139 6.035
Ba Sm Y O
2 3 1 8
Cartesian
0.000 0.000 0.000
0.000 0.000 6.879
0.000 -2.112 9.877
-1.829 1.056 9.877
1.829 1.056 9.877
0.000 0.000 13.744
0.000 -1.820 5.031
-1.576 0.910 5.031
-1.823 -1.053 8.539
0.000 0.000 2.662
1.576 0.910 5.031
0.000 0.000 11.308
1.823 -1.053 8.539
0.000 2.105 8.539
```

## Properties
volume = 269 Å³/cell
formation energy (no corrections) = -3.083 eV/atom



Entry 2:
First-principles (PBE) data for a relaxed structure of CaHoPa, as listed in the Alexandria database.

```
CaHoPa
1.0
3.402 0.000 0.000
1.698 3.098 0.000
1.632 0.362 17.653
Ca Ho Pa
2 2 2
Cartesian
0.000 0.000 0.000
3.333 1.518 14.337
1.617 0.410 11.181
3.317 1.853 3.172
1.617 0.841 5.926
5.015 2.276 8.410
```

## Properties
volume = 186 Å³/cell
energy relative to the elements = 16 kJ/mol of atoms



Entry 3:
First-principles (PBE) data for a relaxed structure of LaBe, as listed in the Alexandria database.

```
LaBe
1.0
-4.883 4.883 1.770
4.883 -4.883 1.770
4.883 4.883 -1.770
La Be
4 4
Cartesian
1.562 1.562 0.000
3.322 -3.322 1.770
-3.322 3.322 1.770
3.322 3.322 1.770
4.883 1.077 0.000
1.077 4.883 0.000
3.806 0.000 1.770
0.000 3.806 1.770
```

## Properties
volume = 169 Å³/cell
offset from the most stable computed form = 226.9 meV/atom
energy relative to the elements = 26 kJ/mol of atoms



Entry 4:
First-principles (PBE) data for a relaxed structure of MgReHg, as listed in the Alexandria database.

```
MgReHg
1.0
3.225 0.000 0.000
1.606 4.281 0.000
1.586 -0.544 8.465
Mg Re Hg
2 2 2
Cartesian
1.596 1.257 2.317
4.822 2.480 6.148
3.205 3.141 3.837
3.212 0.596 4.628
3.205 0.594 7.587
3.213 3.144 0.878
```

## Properties
volume = 117 Å³/cell
offset from the most stable computed form = 150.6 meV/atom
energy relative to the elements = 18 kJ/mol of atoms



Entry 5:
First-principles (PBE) data for a relaxed structure of Na2BiPd2, as listed in the Alexandria database.

```
Na2BiPd2
1.0
-1.955 1.955 7.103
1.955 -1.955 7.103
1.955 1.955 -7.103
Na Bi Pd
2 1 2
Cartesian
1.955 0.000 3.551
0.000 1.955 3.551
0.000 0.000 0.000
0.000 0.000 5.754
0.000 0.000 8.452
```

## Properties
volume = 109 Å³/cell
offset from the most stable computed form = 307.6 meV/atom
energy relative to the elements = 2 kJ/mol of atoms



Entry 6:
First-principles (PBE) data for a relaxed structure of Sn3SbAs, as listed in the Alexandria database.

```
Sn3SbAs
1.0
3.750 0.000 0.000
0.000 4.019 6.189
0.000 -4.019 6.189
Sn Sb As
3 1 1
Cartesian
0.000 0.000 0.000
1.875 -2.457 3.967
1.875 2.457 3.967
1.875 0.000 2.321
0.000 0.000 8.674
```

## Properties
volume = 187 Å³/cell
offset from the most stable computed form = 0.0 meV/atom
formation energy (no corrections) = 0.225 eV/atom



Entry 7:
First-principles (PBE) data for a relaxed structure of Tm2CoBr, as listed in the Alexandria database.

```
Tm2CoBr
1.0
1.908 1.102 7.560
-1.908 1.102 7.560
0.000 -2.204 7.560
Tm Co Br
2 1 1
Cartesian
0.000 0.000 0.000
0.000 0.000 4.746
0.000 0.000 13.724
0.000 0.000 17.574
```

## Properties
volume = 95 Å³/cell
offset from the most stable computed form = 17.0 meV/atom
formation energy (no corrections) = -0.710 eV/atom



Entry 8:
First-principles (PBE) data for a relaxed structure of CaNiH3, as listed in the Alexandria database.

```
CaNiH3
1.0
5.938 -1.657 0.000
5.938 1.657 0.000
-1.549 0.000 5.037
Ca Ni H
2 2 6
Cartesian
0.753 0.000 1.594
9.573 0.000 3.443
3.855 0.000 0.721
6.471 0.000 4.316
-0.073 0.000 4.133
2.391 0.000 4.239
3.117 0.000 2.110
7.210 0.000 2.927
7.935 0.000 0.798
10.400 0.000 0.904
```

## Properties
volume = 99 Å³/cell
raw total energy = -0.2827 Ry/atom



Entry 9:
First-principles (PBE) data for a relaxed structure of ScBe9Mo2, as listed in the Alexandria database.

```
ScBe9Mo2
1.0
4.487 0.000 0.000
-2.244 3.886 0.000
0.000 0.000 14.219
Sc Be Mo
2 18 4
Cartesian
0.000 2.591 3.555
2.244 1.295 10.664
0.000 0.000 0.000
0.000 0.000 3.555
0.000 0.000 7.109
0.000 0.000 10.664
0.000 1.316 8.871
0.000 1.316 12.457
-1.104 3.228 8.871
-1.104 3.228 12.457
0.000 2.591 10.664
1.140 0.658 1.761
1.140 0.658 5.348
1.104 3.228 8.871
1.104 3.228 12.457
2.244 1.295 3.555
3.348 0.658 1.761
3.348 0.658 5.348
2.244 2.570 1.761
2.244 2.570 5.348
0.000 2.591 0.439
0.000 2.591 6.671
2.244 1.295 7.548
2.244 1.295 13.780
```

## Properties
volume = 248 Å³/cell
energy relative to the elements = -26 kJ/mol of atoms



Entry 10:
First-principles (PBE) data for a relaxed structure of KCaDyBr6, as listed in the Alexandria database.

```
KCaDyBr6
1.0
7.454 0.000 0.000
-3.727 6.456 0.000
0.000 0.000 14.346
K Ca Dy Br
2 2 2 12
Cartesian
0.000 0.000 0.000
0.000 0.000 7.173
0.000 4.304 3.587
3.727 2.152 10.760
0.000 4.304 10.760
3.727 2.152 3.587
-1.318 2.415 9.136
-2.295 4.107 12.383
1.318 2.415 12.383
-0.977 6.389 9.136
2.751 0.066 1.963
1.433 2.349 5.210
2.295 4.107 9.136
0.977 6.389 12.383
4.704 0.066 5.210
2.409 4.041 1.963
6.022 2.349 1.963
5.045 4.041 5.210
```

## Properties
volume = 690 Å³/cell
formation energy (no corrections) = -1.928 eV/atom



Entry 11:
First-principles (PBE) data for a relaxed structure of Rb2NaBrCl2, as listed in the Alexandria database.

```
Rb2NaBrCl2
1.0
5.266 0.000 0.000
0.000 5.266 0.000
0.000 0.000 7.916
Rb Na Br Cl
2 1 1 2
Cartesian
0.000 0.000 1.910
0.000 0.000 6.005
2.633 2.633 3.958
2.633 2.633 0.000
0.000 2.633 3.958
2.633 0.000 3.958
```

## Properties
volume = 219 Å³/cell
formation energy (no corrections) = -1.711 eV/atom



Entry 12:
First-principles (PBE) data for a relaxed structure of ZrGaRh3, as listed in the Alexandria database.

```
ZrGaRh3
1.0
4.799 0.000 0.000
0.000 4.799 0.000
0.000 0.000 4.799
Zr Ga Rh
1 1 3
Cartesian
0.000 0.000 0.000
2.400 2.400 2.400
0.000 0.000 2.400
0.000 2.400 0.000
2.400 0.000 0.000
```

## Properties
volume = 111 Å³/cell
offset from the most stable computed form = 789.1 meV/atom
energy relative to the elements = 78 kJ/mol of atoms



Entry 13:
First-principles (PBE) data for a relaxed structure of Ta2MoPtC, as listed in the Alexandria database.

```
Ta2MoPtC
1.0
4.280 0.000 0.000
0.000 4.280 0.000
0.000 0.000 4.093
Ta Mo Pt C
2 1 1 1
Cartesian
0.000 2.140 0.000
2.140 0.000 0.000
0.000 0.000 2.046
2.140 2.140 2.046
0.000 0.000 0.000
```

## Properties
volume = 75 Å³/cell
energy relative to the elements = -34 kJ/mol of atoms



Entry 14:
First-principles (PBE) data for a relaxed structure of Pm2NdErTh, as listed in the Alexandria database.

```
Pm2NdErTh
1.0
8.633 0.000 0.000
0.000 6.446 0.000
-0.847 0.000 6.340
Pm Nd Er Th
4 2 2 2
Cartesian
1.350 1.234 1.855
0.927 5.212 5.025
6.859 1.234 1.315
6.435 5.212 4.485
4.316 3.223 0.000
3.893 3.223 3.170
-0.635 2.105 4.755
-0.212 4.341 1.585
3.681 0.308 4.755
4.105 6.138 1.585
```

## Properties
volume = 353 Å³/cell
energy relative to the elements = 30 kJ/mol of atoms



Entry 15:
First-principles (PBE) data for a relaxed structure of Tm3Cu, as listed in the Alexandria database.

```
Tm3Cu
1.0
-5.852 5.852 2.982
5.852 -5.852 2.982
5.852 5.852 -2.982
Tm Cu
12 4
Cartesian
4.669 1.083 -0.044
5.780 4.201 -1.532
8.121 2.417 0.182
2.417 3.583 -0.182
0.072 1.651 1.451
4.769 -1.184 3.027
1.083 7.036 0.044
3.435 2.269 2.801
1.651 -0.072 4.514
4.201 5.924 1.532
-2.269 3.435 3.164
1.184 4.769 2.938
2.438 -0.111 1.523
3.414 5.964 -1.459
5.741 3.414 1.459
0.111 2.438 4.442
```

## Properties
volume = 409 Å³/cell
energy relative to the elements = -4 kJ/mol of atoms



Entry 16:
First-principles (PBE) data for a relaxed structure of RbGa2Sn2, as listed in the Alexandria database.

```
RbGa2Sn2
1.0
9.093 0.000 0.000
0.000 9.093 0.000
0.000 0.000 3.363
Rb Ga Sn
2 4 4
Cartesian
0.000 0.000 0.000
4.547 4.547 0.000
1.289 3.258 0.000
3.258 7.804 0.000
5.835 1.289 0.000
7.804 5.835 0.000
1.255 5.801 1.682
3.292 1.255 1.682
5.801 7.838 1.682
7.838 3.292 1.682
```

## Properties
volume = 278 Å³/cell
offset from the most stable computed form = 138.9 meV/atom
energy relative to the elements = -2 kJ/mol of atoms



Entry 17:
First-principles (PBE) data for a relaxed structure of NdDy4Cd, as listed in the Alexandria database.

```
NdDy4Cd
1.0
4.372 -7.102 0.000
4.372 7.102 0.000
-2.066 0.000 5.971
Nd Dy Cd
2 8 2
Cartesian
2.822 5.827 4.478
3.855 -5.827 1.493
0.091 1.746 5.234
2.572 2.697 2.725
1.124 -1.746 2.249
5.138 2.697 0.260
1.539 -2.697 5.710
5.554 1.746 3.722
4.105 -2.697 3.246
6.587 -1.746 0.737
3.855 -0.007 1.493
2.822 0.007 4.478
```

## Properties
volume = 371 Å³/cell
offset from the most stable computed form = 92.2 meV/atom
energy relative to the elements = 0 kJ/mol of atoms



Entry 18:
First-principles (PBE) data for a relaxed structure of ScFeTe, as listed in the Alexandria database.

```
ScFeTe
1.0
-1.807 1.807 4.474
1.807 -1.807 4.474
1.807 1.807 -4.474
Sc Fe Te
1 1 1
Cartesian
0.000 0.000 0.000
0.000 0.000 5.969
0.000 0.000 2.921
```

## Properties
volume = 58 Å³/cell
formation energy (no corrections) = -0.189 eV/atom



Entry 19:
First-principles (PBE) data for a relaxed structure of Pu2SbTe, as listed in the Alexandria database.

```
Pu2SbTe
1.0
-3.139 3.139 6.284
3.139 -3.139 6.284
3.139 3.139 -6.284
Pu Sb Te
4 2 2
Cartesian
3.139 1.569 -1.588
0.000 1.569 1.554
3.139 1.569 4.730
0.000 1.569 7.873
3.139 -1.569 4.713
0.000 4.708 1.571
3.139 1.569 1.571
0.000 1.569 4.713
```

## Properties
volume = 248 Å³/cell
offset from the most stable computed form = 0.0 meV/atom
formation energy (no corrections) = -0.871 eV/atom



Entry 20:
First-principles (PBE) data for a relaxed structure of SiHg2Mo, as listed in the Alexandria database.

```
SiHg2Mo
1.0
3.316 0.000 0.000
0.000 3.316 0.000
0.000 0.000 6.955
Si Hg Mo
1 2 1
Cartesian
0.000 0.000 0.000
0.000 0.000 4.121
1.658 1.658 2.091
1.658 1.658 6.112
```

## Properties
volume = 76 Å³/cell
formation energy (no corrections) = 0.276 eV/atom